Record 1
A plane-wave DFT calculation with PBE-GGA was carried out for a geometry-optimized Al2Mo2As structure.

Results
Energy of formation from the pure elements ... -0.072 eV per atom

Cell and atoms, written as extended XYZ:
```
10
Lattice="6.6359 0.0000 0.0000 0.0000 6.6359 0.0000 0.0000 0.0000 3.7255" Properties=species:S:1:pos:R:3 pbc="T T T"
Mo 5.5674 4.3865 0.0000
Mo 2.2495 5.5674 0.0000
Mo 4.3865 1.0685 0.0000
Mo 1.0685 2.2495 0.0000
Al 2.3869 0.9311 1.8628
Al 0.9311 4.2490 1.8628
Al 4.2490 5.7049 1.8628
Al 5.7049 2.3869 1.8628
As 3.3180 3.3180 0.0000
As 0.0000 0.0000 0.0000
```

---

Record 2
A plane-wave DFT calculation with PBE-GGA was carried out for a geometry-optimized Al2MoAs structure.

Results
Energy of formation from the pure elements ... -0.049 eV per atom

Cell and atoms, written as extended XYZ:
```
4
Lattice="4.8207 0.0076 -0.0014 3.8902 2.8470 -0.0014 0.4986 0.1634 4.7136" Properties=species:S:1:pos:R:3 pbc="T T T"
As 4.7639 1.5612 2.2194
Mo 2.3041 0.7551 1.1839
Al 8.6274 2.8273 0.0534
Al 6.8296 2.2381 3.6066
```

---

Record 3
A plane-wave DFT calculation with PBE-GGA was carried out for a geometry-optimized AlMoAs structure.

Results
Energy of formation from the pure elements ... -0.078 eV per atom

Cell and atoms, written as extended XYZ:
```
6
Lattice="4.1119 1.0673 2.5740 3.8413 6.4887 3.5226 6.6460 4.5604 9.2079" Properties=species:S:1:pos:R:3 pbc="T T T"
As 5.2163 3.7349 5.1554
As 6.1378 6.6389 5.0678
Al 11.5598 9.1454 11.9027
Al 4.0927 1.6592 2.9229
Mo 6.7744 4.7801 6.8643
Mo 9.8585 8.1029 10.3133
```

---

Record 4
A plane-wave DFT calculation with PBE-GGA was carried out for a geometry-optimized NbAlMoAs2 structure.

Results
Energy of formation from the pure elements ... 1.184 eV per atom

Cell and atoms, written as extended XYZ:
```
5
Lattice="-3.9960 0.0887 -2.4252 0.5812 -4.3704 -1.1173 -2.3521 -1.2916 3.8284" Properties=species:S:1:pos:R:3 pbc="T T T"
Al 0.0000 0.0000 0.0000
Nb -2.8835 -2.7866 0.1429
Mo 0.2906 -2.1852 -0.5587
As -1.9980 0.0443 -1.2126
As -1.1761 -0.6458 1.9142
```

---

Record 5
A plane-wave DFT calculation with PBE-GGA was carried out for a geometry-optimized AlReMoAs2 structure.

Results
Energy of formation from the pure elements ... 1.633 eV per atom

Cell and atoms, written as extended XYZ:
```
5
Lattice="-0.9119 4.5123 0.1879 -1.8981 -0.2121 -4.1196 -4.0850 -0.9058 1.9288" Properties=species:S:1:pos:R:3 pbc="T T T"
As -0.4559 2.2562 0.0939
As -2.0425 -0.4529 0.9644
Al 0.0000 0.0000 0.0000
Mo -3.4475 1.6972 -1.0015
Re -0.9490 -0.1060 -2.0598
```

---

Record 6
A plane-wave DFT calculation with PBE-GGA was carried out for a geometry-optimized Al2MoAsRh structure.

Results
Energy of formation from the pure elements ... 0.891 eV per atom

Cell and atoms, written as extended XYZ:
```
5
Lattice="-3.3537 -0.5871 3.3781 2.6793 -3.2302 2.0985 2.0630 3.4288 2.6440" Properties=species:S:1:pos:R:3 pbc="T T T"
Al 1.0315 1.7144 1.3220
Al -1.6769 -0.2936 1.6890
As 0.6943 -0.1943 4.0603
Rh 1.3396 -1.6151 1.0493
Mo 0.0000 0.0000 0.0000
```

---

Record 7
A plane-wave DFT calculation with PBE-GGA was carried out for a geometry-optimized AlMoAs2Se structure.

Results
Formation energy (no corrections) ... 426.9 meV/atom

Cell and atoms, written as extended XYZ:
```
5
Lattice="-1.0379 4.7614 -0.0934 -4.3359 -0.9843 -1.9970 -2.0484 -0.3558 4.6230" Properties=species:S:1:pos:R:3 pbc="T T T"
As -0.5189 2.3807 -0.0467
As -2.1680 -0.4922 -0.9985
Mo 0.0000 0.0000 0.0000
Se -1.0242 -0.1779 2.3115
Al -3.7111 1.7106 1.2663
```

---

Record 8
A plane-wave DFT calculation with PBE-GGA was carried out for a geometry-optimized AlMoAsSe2 structure.

Results
Formation energy (no corrections) ... 326.3 meV/atom

Cell and atoms, written as extended XYZ:
```
5
Lattice="4.9886 0.0000 0.0000 0.0000 4.9886 0.0000 0.0000 0.0000 4.8938" Properties=species:S:1:pos:R:3 pbc="T T T"
Se 2.4943 0.0000 0.0000
Se 0.0000 2.4943 0.0000
Mo 0.0000 0.0000 0.0000
Al 2.4943 2.4943 2.4469
As 0.0000 0.0000 2.4469
```

---

Record 9
A plane-wave DFT calculation with PBE-GGA was carried out for a geometry-optimized AlMoAsSe2 structure.

Results
Formation energy (no corrections) ... 706.2 meV/atom

Cell and atoms, written as extended XYZ:
```
5
Lattice="-3.3429 3.5037 0.2895 -2.9529 -3.0150 2.3927 1.8759 1.4478 4.1396" Properties=species:S:1:pos:R:3 pbc="T T T"
Al 0.0000 0.0000 0.0000
Mo -2.2099 0.9683 3.4108
As 0.9380 0.7239 2.0698
Se -1.4765 -1.5075 1.1963
Se -1.6714 1.7519 0.1447
```

---

Record 10
A plane-wave DFT calculation with PBE-GGA was carried out for a geometry-optimized AlMoAs2Se structure.

Results
Formation energy (no corrections) ... 862.9 meV/atom

Cell and atoms, written as extended XYZ:
```
5
Lattice="4.7643 0.0000 0.0000 0.0000 4.7643 0.0000 0.0000 0.0000 4.8771" Properties=species:S:1:pos:R:3 pbc="T T T"
Mo 2.3821 2.3821 2.4386
Se 0.0000 0.0000 2.4386
As 0.0000 2.3821 0.0000
As 2.3821 0.0000 0.0000
Al 0.0000 0.0000 0.0000
```

---

Record 11
A plane-wave DFT calculation with PBE-GGA was carried out for a geometry-optimized AlSnMo2As structure.

Results
Energy of formation from the pure elements ... 1.188 eV per atom

Cell and atoms, written as extended XYZ:
```
5
Lattice="4.6835 0.0000 0.0000 0.0000 5.2155 0.0000 0.0000 0.0000 4.6835" Properties=species:S:1:pos:R:3 pbc="T T T"
Al 2.3418 2.6078 2.3418
As 0.0000 0.0000 0.0000
Sn 0.0000 2.6078 0.0000
Mo 0.0000 0.0000 2.3418
Mo 2.3418 0.0000 0.0000
```

---

Record 12
A plane-wave DFT calculation with PBE-GGA was carried out for a geometry-optimized AlTcMo2As structure.

Results
Energy of formation from the pure elements ... 1.277 eV per atom

Cell and atoms, written as extended XYZ:
```
5
Lattice="4.7844 0.0000 0.0000 0.0000 4.5941 0.0000 0.0000 0.0000 4.7844" Properties=species:S:1:pos:R:3 pbc="T T T"
As 0.0000 2.2970 0.0000
Mo 0.0000 0.0000 2.3922
Mo 2.3922 0.0000 0.0000
Tc 0.0000 0.0000 0.0000
Al 2.3922 2.2970 2.3922
```

---

VASP energy for the records above, in order: -34.16; -23.16; -19.46; -28.02; -28.16; -25.86; -25.22; -24.56; -22.66; -23.04; -28.11; -34.03 eV per formula unit